Here is crystalline AlZnSn at its relaxed geometry from the Alexandria database. Energies are from GGA-PBE.

Summary:
calculated density	5.8	g/cm³
energy	-2.93	eV/atom
crystal system	tetragonal
E_form	0.073	eV per atom

Lattice parameters (Å, degrees): 4.105 4.105 7.152 90.00 90.00 90.00
Fractional positions:
Al 0.250 0.750 0.000
Al 0.750 0.250 0.000
Zn 0.250 0.250 0.243
Zn 0.750 0.750 0.757
Sn 0.250 0.250 0.643
Sn 0.750 0.750 0.357

---

Here is crystalline AlZn3Sn at its relaxed geometry from the Alexandria database. Energies are from GGA-PBE.

Summary:
calculated density	4.1	g/cm³
energy	-1.64	eV/atom
crystal system	cubic
E_form	0.675	eV per atom
energy above the most stable polymorph in this dataset	232	meV per atom

Lattice parameters (Å, degrees): 5.184 5.184 5.184 90.00 90.00 90.00
Fractional positions:
Al 0.000 0.000 0.000
Zn 0.000 0.500 0.500
Zn 0.500 0.000 0.500
Zn 0.500 0.500 0.000
Sn 0.500 0.500 0.500

---

Here is crystalline AlZnSn at its relaxed geometry from the Alexandria database. Energies are from GGA-PBE.

Summary:
calculated density	5.6	g/cm³
energy	-2.86	eV/atom
crystal system	trigonal
E_form	0.142	eV per atom

Lattice parameters (Å, degrees): 3.359 3.359 6.429 90.00 90.00 120.00
Fractional positions:
Al 0.000 0.000 0.000
Zn 0.667 0.333 0.288
Sn 0.333 0.667 0.638

---

Here is crystalline Al2ZnSn at its relaxed geometry from the Alexandria database. Energies are from GGA-PBE.

Summary:
calculated density	4.8	g/cm³
energy	-2.96	eV/atom
crystal system	tetragonal
E_form	0.226	eV per atom

Lattice parameters (Å, degrees): 6.118 6.118 6.118 102.15 102.15 125.38
Fractional positions:
Al 0.098 0.625 0.973
Al 0.375 0.348 0.473
Al 0.652 0.125 0.027
Al 0.875 0.902 0.527
Zn 0.000 0.000 0.000
Zn 0.750 0.250 0.500
Sn 0.250 0.750 0.500
Sn 0.500 0.500 0.000

---

Here is crystalline AlZnSn2 at its relaxed geometry from the Alexandria database. Energies are from GGA-PBE.

Summary:
calculated density	5.7	g/cm³
energy	-3.12	eV/atom
crystal system	trigonal
E_form	0.135	eV per atom
energy above the most stable polymorph in this dataset	0	meV per atom

Lattice parameters (Å, degrees): 6.376 6.376 6.376 39.99 39.99 39.99
Fractional positions:
Al 0.000 0.000 0.000
Zn 0.160 0.160 0.160
Sn 0.412 0.412 0.412
Sn 0.582 0.582 0.582

---

Here is crystalline AlZn2Sn at its relaxed geometry from the Alexandria database. Energies are from GGA-PBE.

Summary:
calculated density	6.0	g/cm³
energy	-2.42	eV/atom
crystal system	tetragonal
E_form	0.151	eV per atom
energy above the most stable polymorph in this dataset	23	meV per atom

Lattice parameters (Å, degrees): 4.250 4.250 4.235 90.00 90.00 90.00
Fractional positions:
Al 0.000 0.000 0.000
Zn 0.000 0.500 0.500
Zn 0.500 0.000 0.500
Sn 0.500 0.500 0.000

---

Here is crystalline Al2ZnSn2 at its relaxed geometry from the Alexandria database. Energies are from GGA-PBE.

Summary:
calculated density	4.6	g/cm³
energy	-3.05	eV/atom
crystal system	tetragonal
E_form	0.298	eV per atom
energy above the most stable polymorph in this dataset	141	meV per atom

Lattice parameters (Å, degrees): 6.654 6.654 6.654 138.48 138.48 60.18
Fractional positions:
Al 0.250 0.750 0.500
Al 0.750 0.250 0.500
Zn 0.000 0.000 0.000
Sn 0.379 0.379 0.000
Sn 0.621 0.621 0.000

---

Here is crystalline AlZn2Sn2 at its relaxed geometry from the Alexandria database. Energies are from GGA-PBE.

Summary:
calculated density	5.9	g/cm³
energy	-2.63	eV/atom
crystal system	tetragonal
E_form	0.230	eV per atom
energy above the most stable polymorph in this dataset	89	meV per atom

Lattice parameters (Å, degrees): 8.177 8.177 3.312 90.00 90.00 90.00
Fractional positions:
Al 0.000 0.000 0.000
Al 0.500 0.500 0.000
Zn 0.113 0.387 0.500
Zn 0.387 0.887 0.500
Zn 0.613 0.113 0.500
Zn 0.887 0.613 0.500
Sn 0.187 0.687 0.000
Sn 0.313 0.187 0.000
Sn 0.687 0.813 0.000
Sn 0.813 0.313 0.000

---

Here is crystalline AlZn2Sn at its relaxed geometry from the Alexandria database. Energies are from GGA-PBE.

Summary:
calculated density	5.5	g/cm³
energy	-2.44	eV/atom
crystal system	tetragonal
E_form	0.129	eV per atom
energy above the most stable polymorph in this dataset	0	meV per atom

Lattice parameters (Å, degrees): 9.128 9.128 9.128 152.09 152.09 39.88
Fractional positions:
Al 0.000 0.000 0.000
Al 0.750 0.250 0.500
Zn 0.066 0.625 0.941
Zn 0.375 0.316 0.441
Zn 0.684 0.125 0.059
Zn 0.875 0.934 0.559
Sn 0.250 0.750 0.500
Sn 0.500 0.500 0.000

---

Here is crystalline Al2ZnSn at its relaxed geometry from the Alexandria database. Energies are from GGA-PBE.

Summary:
calculated density	4.9	g/cm³
energy	-3.03	eV/atom
crystal system	trigonal
E_form	0.159	eV per atom

Lattice parameters (Å, degrees): 10.103 10.103 10.103 17.38 17.38 17.38
Fractional positions:
Al 0.097 0.097 0.097
Al 0.903 0.903 0.903
Zn 0.500 0.500 0.500
Sn 0.000 0.000 0.000

---

Here is crystalline Al2ZnSn2 at its relaxed geometry from the Alexandria database. Energies are from GGA-PBE.

Summary:
calculated density	5.4	g/cm³
energy	-3.20	eV/atom
crystal system	tetragonal
E_form	0.157	eV per atom
energy above the most stable polymorph in this dataset	0	meV per atom

Lattice parameters (Å, degrees): 6.967 6.967 4.490 90.00 90.00 90.00
Fractional positions:
Al 0.135 0.365 0.000
Al 0.365 0.865 0.000
Al 0.635 0.135 0.000
Al 0.865 0.635 0.000
Zn 0.000 0.000 0.000
Zn 0.500 0.500 0.000
Sn 0.181 0.681 0.500
Sn 0.319 0.181 0.500
Sn 0.681 0.819 0.500
Sn 0.819 0.319 0.500

---

Here is crystalline AlZnSn2 at its relaxed geometry from the Alexandria database. Energies are from GGA-PBE.

Summary:
calculated density	6.1	g/cm³
energy	-3.10	eV/atom
crystal system	tetragonal
E_form	0.155	eV per atom
energy above the most stable polymorph in this dataset	20	meV per atom

Lattice parameters (Å, degrees): 4.997 4.997 3.572 90.00 90.00 90.00
Fractional positions:
Al 0.000 0.000 0.000
Zn 0.500 0.500 0.000
Sn 0.000 0.500 0.500
Sn 0.500 0.000 0.500